#i
Here is a relaxed structure of Nd4AsCl5 from Alexandria via LeMat-Bulk. Energies are from PBE.

Computed properties:
Density of states at the Fermi level   0.333 states/eV per atom

Lattice parameters (Å, degrees): 6.708 8.929 9.765 90.00 90.00 90.00
Atoms (fractional coordinates):
Nd (0.880, 0.000, 0.736)
Nd (0.525, 0.709, 0.000)
Nd (0.525, 0.291, 0.000)
Nd (0.880, 0.000, 0.264)
Nd (0.120, 0.500, 0.236)
Nd (0.475, 0.791, 0.500)
Nd (0.475, 0.209, 0.500)
Nd (0.120, 0.500, 0.764)
As (0.718, 0.000, 0.000)
As (0.282, 0.500, 0.500)
Cl (0.245, 0.800, 0.798)
Cl (0.245, 0.200, 0.798)
Cl (0.846, 0.500, 0.000)
Cl (0.245, 0.800, 0.202)
Cl (0.245, 0.200, 0.202)
Cl (0.755, 0.700, 0.298)
Cl (0.755, 0.300, 0.298)
Cl (0.154, 0.000, 0.500)
Cl (0.755, 0.300, 0.702)
Cl (0.755, 0.700, 0.702)

#ii
Here is a relaxed structure of Nd4AsCl5 from Alexandria via LeMat-Bulk. Energies are from PBE.

Computed properties:
Density of states at the Fermi level   0.332 states/eV per atom

Lattice parameters (Å, degrees): 4.101 8.371 9.279 103.40 102.77 90.00
Atoms (fractional coordinates):
Nd (0.657, 0.090, 0.315)
Nd (0.000, 0.233, 0.000)
Nd (0.343, 0.910, 0.685)
Nd (0.000, 0.767, 0.000)
As (0.500, 0.000, 0.000)
Cl (0.166, 0.330, 0.332)
Cl (0.171, 0.849, 0.343)
Cl (0.829, 0.151, 0.657)
Cl (0.500, 0.500, 0.000)
Cl (0.834, 0.670, 0.668)

Which structure is most stable? #ii, by 0.192 eV/atom over the runner-up.

#i
Here is a relaxed structure of NiAs2Cl from Alexandria via LeMat-Bulk. Energies are from PBE.

Computed properties:
Density of states at the Fermi level   0.865 states/eV per atom

Lattice parameters (Å, degrees): 2.970 5.614 4.247 90.00 90.00 90.00
Atoms (fractional coordinates):
As (0.000, 0.000, 0.000)
As (0.500, 0.500, 0.000)
Cl (0.500, 0.000, 0.500)
Ni (0.000, 0.500, 0.500)

#ii
Here is a relaxed structure of NiAs2Cl from Alexandria via LeMat-Bulk. Energies are from PBE.

Computed properties:
Density of states at the Fermi level   0.919 states/eV per atom

Lattice parameters (Å, degrees): 4.520 4.520 4.518 68.29 68.29 105.04
Atoms (fractional coordinates):
As (0.000, 0.000, 0.000)
As (0.500, 0.500, 0.000)
Cl (0.500, 0.000, 0.500)
Ni (0.000, 0.500, 0.500)

#iii
Here is a relaxed structure of NiAs2Cl from Alexandria via LeMat-Bulk. Energies are from PBE.

Computed properties:
Density of states at the Fermi level   1.062 states/eV per atom

Lattice parameters (Å, degrees): 3.419 4.382 7.039 65.93 90.00 90.00
Atoms (fractional coordinates):
As (0.000, 0.718, 0.111)
As (0.500, 0.156, 0.966)
Cl (0.000, 0.881, 0.593)
Ni (0.500, 0.745, 0.829)

Which structure is most stable? #iii, by 0.384 eV/atom over the runner-up.

#i
Here is a relaxed structure of NiAs2Cl from Alexandria via LeMat-Bulk. Energies are from PBE.

Computed properties:
Density of states at the Fermi level   0.378 states/eV per atom

Lattice parameters (Å, degrees): 3.760 3.760 7.335 105.45 105.45 60.18
Atoms (fractional coordinates):
As (0.866, 0.866, 0.106)
As (0.634, 0.634, 0.394)
Cl (0.750, 0.750, 0.750)
Ni (0.250, 0.250, 0.250)

#ii
Here is a relaxed structure of NiAs2Cl from Alexandria via LeMat-Bulk. Energies are from PBE.

Computed properties:
Density of states at the Fermi level   0.970 states/eV per atom

Lattice parameters (Å, degrees): 3.204 3.204 8.466 90.00 90.00 117.56
Atoms (fractional coordinates):
As (0.000, 0.000, 0.955)
As (0.500, 0.500, 0.208)
Cl (0.000, 0.000, 0.576)
Ni (0.500, 0.500, 0.762)

#iii
Here is a relaxed structure of NiAs2Cl from Alexandria via LeMat-Bulk. Energies are from PBE.

Computed properties:
Density of states at the Fermi level   0.392 states/eV per atom

Lattice parameters (Å, degrees): 6.794 6.794 6.794 31.85 31.85 31.85
Atoms (fractional coordinates):
As (0.031, 0.031, 0.031)
As (0.469, 0.469, 0.469)
Cl (0.250, 0.250, 0.250)
Ni (0.750, 0.750, 0.750)

#iv
Here is a relaxed structure of NiAs2Cl from Alexandria via LeMat-Bulk. Energies are from PBE.

Computed properties:
Density of states at the Fermi level   0.777 states/eV per atom

Lattice parameters (Å, degrees): 3.315 3.314 6.929 90.00 90.00 90.00
Atoms (fractional coordinates):
As (0.000, 0.000, 0.962)
As (0.500, 0.500, 0.165)
Cl (0.000, 0.000, 0.564)
Ni (0.500, 0.500, 0.808)

Which structure is most stable? #i, by 0.091 eV/atom over the runner-up.

#i
Here is a relaxed structure of NiAs2Cl from Alexandria via LeMat-Bulk. Energies are from PBE.

Computed properties:
Density of states at the Fermi level   0.938 states/eV per atom

Lattice parameters (Å, degrees): 5.998 5.998 5.998 151.58 136.27 52.98
Atoms (fractional coordinates):
As (0.060, 0.060, 0.000)
As (0.440, 0.440, 0.000)
Cl (0.750, 0.250, 0.500)
Ni (0.250, 0.750, 0.500)

#ii
Here is a relaxed structure of NiAs2Cl from Alexandria via LeMat-Bulk. Energies are from PBE.

Computed properties:
Density of states at the Fermi level   0.632 states/eV per atom

Lattice parameters (Å, degrees): 5.926 5.926 6.806 64.19 64.19 90.00
Atoms (fractional coordinates):
Ni (0.000, 0.000, 0.000)
Ni (0.750, 0.250, 0.500)
As (0.712, 0.125, 0.250)
As (0.038, 0.625, 0.250)
As (0.375, 0.288, 0.750)
As (0.875, 0.962, 0.750)
Cl (0.500, 0.500, 0.000)
Cl (0.250, 0.750, 0.500)

#iii
Here is a relaxed structure of NiAs2Cl from Alexandria via LeMat-Bulk. Energies are from PBE.

Computed properties:
Density of states at the Fermi level   0.992 states/eV per atom

Lattice parameters (Å, degrees): 4.539 4.539 4.539 60.00 60.00 60.00
Atoms (fractional coordinates):
Ni (0.500, 0.500, 0.500)
As (0.250, 0.250, 0.250)
As (0.750, 0.750, 0.750)
Cl (0.000, 0.000, 0.000)

#iv
Here is a relaxed structure of NiAs2Cl from Alexandria via LeMat-Bulk. Energies are from PBE.

Computed properties:
Density of states at the Fermi level   0.369 states/eV per atom

Lattice parameters (Å, degrees): 8.653 8.653 8.653 22.09 22.09 22.09
Atoms (fractional coordinates):
As (0.019, 0.019, 0.019)
As (0.275, 0.275, 0.275)
Cl (0.463, 0.463, 0.463)
Ni (0.742, 0.742, 0.742)

Which structure is most stable? #iv, by 0.203 eV/atom over the runner-up.

#i
Here is a relaxed structure of NiAs2Cl from Alexandria via LeMat-Bulk. Energies are from PBE.

Computed properties:
Density of states at the Fermi level   0.957 states/eV per atom

Lattice parameters (Å, degrees): 4.882 4.882 2.834 90.00 90.00 90.00
Atoms (fractional coordinates):
As (0.000, 0.000, 0.000)
As (0.500, 0.500, 0.000)
Cl (0.500, 0.000, 0.500)
Ni (0.000, 0.500, 0.500)

#ii
Here is a relaxed structure of NiAs2Cl from Alexandria via LeMat-Bulk. Energies are from PBE.

Computed properties:
Density of states at the Fermi level   0.875 states/eV per atom

Lattice parameters (Å, degrees): 4.576 4.576 4.576 119.93 119.93 90.12
Atoms (fractional coordinates):
As (0.000, 0.000, 0.000)
As (0.250, 0.750, 0.500)
Cl (0.500, 0.500, 0.000)
Ni (0.750, 0.250, 0.500)

#iii
Here is a relaxed structure of NiAs2Cl from Alexandria via LeMat-Bulk. Energies are from PBE.

Computed properties:
Density of states at the Fermi level   0.187 states/eV per atom

Lattice parameters (Å, degrees): 2.652 3.432 8.345 90.00 90.00 90.00
Atoms (fractional coordinates):
As (0.000, 0.000, 0.916)
As (0.000, 0.000, 0.584)
Cl (0.500, 0.500, 0.250)
Ni (0.500, 0.500, 0.750)

#iv
Here is a relaxed structure of NiAs2Cl from Alexandria via LeMat-Bulk. Energies are from PBE.

Computed properties:
Density of states at the Fermi level   0.294 states/eV per atom

Lattice parameters (Å, degrees): 3.864 4.765 4.763 58.19 90.00 90.00
Atoms (fractional coordinates):
As (0.000, 0.922, 0.922)
As (0.000, 0.578, 0.578)
Cl (0.500, 0.250, 0.250)
Ni (0.500, 0.750, 0.750)

Which structure is most stable? #iv, by 0.129 eV/atom over the runner-up.